[1]
# PBE Ti2ZnCrC, relaxed
data_Ti2ZnCrC
_chemical_formula_sum 'Ti2 Zn1 Cr1 C1'
_space_group_name_H-M_alt 'P 4/m m m'
_space_group_IT_number 123
_space_group_name_Hall '-P 4 2'
_cell_length_a 4.210
_cell_length_b 4.210
_cell_length_c 3.780
_cell_angle_alpha 90.00
_cell_angle_beta 90.00
_cell_angle_gamma 90.00
loop_
_atom_site_label
_atom_site_fract_x
_atom_site_fract_y
_atom_site_fract_z
Ti1 0.000 0.500 0.000
Zn1 0.000 0.000 0.500
Cr1 0.500 0.500 0.500
C1 0.500 0.500 0.000
# Energy of formation from the pure elements (eV/atom): -0.327
# N(E_F) (states/eV/f.u.): 3.0
# Electronic total energy (eV per atom): -7.51

[2]
# PBE Ca2AgAu2, relaxed
data_Ca2AgAu2
_chemical_formula_sum 'Ca4 Ag2 Au4'
_space_group_name_H-M_alt 'P 4/m b m'
_space_group_IT_number 127
_space_group_name_Hall '-P 4 2ab'
_cell_length_a 7.746
_cell_length_b 7.746
_cell_length_c 4.042
_cell_angle_alpha 90.00
_cell_angle_beta 90.00
_cell_angle_gamma 90.00
loop_
_atom_site_label
_atom_site_fract_x
_atom_site_fract_y
_atom_site_fract_z
Ca1 0.172 0.328 0.000
Ag1 0.000 0.000 0.500
Au1 0.130 0.630 0.500
# Energy of formation from the pure elements (eV/atom): -0.642
# N(E_F) (states/eV/f.u.): 1.5
# E above lowest polymorph (eV per formula unit): 0.00
# Electronic total energy (eV per atom): -3.32

[3]
# PBE PmSmYTh, relaxed
data_PmSmYTh
_chemical_formula_sum 'Pm4 Sm4 Y4 Th4'
_space_group_name_H-M_alt 'F -4 3 m'
_space_group_IT_number 216
_space_group_name_Hall 'F -4 2 3'
_cell_length_a 8.112
_cell_length_b 8.112
_cell_length_c 8.112
_cell_angle_alpha 90.00
_cell_angle_beta 90.00
_cell_angle_gamma 90.00
loop_
_atom_site_label
_atom_site_fract_x
_atom_site_fract_y
_atom_site_fract_z
Pm1 0.000 0.000 0.000
Sm1 0.000 0.000 0.500
Y1 0.250 0.250 0.750
Th1 0.250 0.250 0.250
# Energy of formation from the pure elements (eV/atom): 0.198
# N(E_F) (states/eV/f.u.): 10.9
# E above lowest polymorph (eV per formula unit): 0.62
# Electronic total energy (eV per atom): -5.64

[4]
# PBE Ba6Zn2Ir, relaxed
data_Ba6Zn2Ir
_chemical_formula_sum 'Ba12 Zn4 Ir2'
_space_group_name_H-M_alt 'P 1 21/c 1'
_space_group_IT_number 14
_space_group_name_Hall '-P 2ybc'
_cell_length_a 7.916
_cell_length_b 8.922
_cell_length_c 14.014
_cell_angle_alpha 90.00
_cell_angle_beta 122.97
_cell_angle_gamma 90.00
loop_
_atom_site_label
_atom_site_fract_x
_atom_site_fract_y
_atom_site_fract_z
Ba1 0.107 0.035 0.243
Ba2 0.224 0.697 0.065
Ba3 0.382 0.168 0.062
Zn1 0.305 0.115 0.752
Ir1 0.000 0.000 0.000
# Energy of formation from the pure elements (eV/atom): -0.138
# N(E_F) (states/eV/f.u.): 8.1
# Electronic total energy (eV per atom): -2.69

Q: Which of these has the lowest electronic total energy?
A: Ti2ZnCrC